1.
## CsCdAsPb (PBE-GGA)

Data for a geometry-optimized CsCdAsPb structure.

Space-group type ... No. 129
ΔH_f (0 K) ... -0.218 eV/atom

Cell: 4.4861 4.4861 14.9252 Å, 90.00 90.00 90.00°
Closest atoms and distances in Å follow each position.
Atoms (fractional coordinates):
Cs 0.7500 0.7500 0.2355  4 As 3.67
Cs 0.2500 0.2500 0.7645  4 As 3.67
Cd 0.7500 0.2500 0.0000  4 As 2.80
Cd 0.2500 0.7500 0.0000  4 As 2.80
As 0.7500 0.7500 0.8875  4 Cd 2.80
As 0.2500 0.2500 0.1125  4 Cd 2.80
Pb 0.2500 0.7500 0.5000  4 Pb 3.17
Pb 0.7500 0.2500 0.5000  4 Pb 3.17

=====

2.
## CsCdAs2Pb (PBE-GGA)

Data for a geometry-optimized CsCdAs2Pb structure.

Space-group type ... No. 12
ΔH_f (0 K) ... -0.247 eV/atom

Cell: 4.5500 8.1043 10.0921 Å, 84.12 76.97 73.70°
Closest atoms and distances in Å follow each position.
Atoms (fractional coordinates):
Cs 0.8307 0.6906 0.6481  6 As 3.83-4.01, 1 Pb 3.97, 3 Cd 4.01-4.09, 1 Cs 4.24
Cs 0.1693 0.3094 0.3519  6 As 3.83-4.01, 1 Pb 3.97, 3 Cd 4.01-4.09, 1 Cs 4.24
Cd 0.0781 0.1095 0.7344  3 As 2.65-2.74
Cd 0.9219 0.8905 0.2656  3 As 2.65-2.74
As 0.4652 0.7344 0.3352  2 Cd 2.65, 1 Pb 2.87
As 0.5348 0.2656 0.6648  2 Cd 2.65, 1 Pb 2.87
As 0.9016 0.1379 0.0589  1 As 2.48, 1 Cd 2.74
As 0.0984 0.8621 0.9411  1 As 2.48, 1 Cd 2.74
Pb 0.3554 0.3417 0.9474  3 As 2.87-2.96
Pb 0.6446 0.6583 0.0526  3 As 2.87-2.96

=====

3.
## CsCd2AsPt (PBE-GGA)

Data for a geometry-optimized CsCd2AsPt structure.

Space-group type ... No. 123
ΔH_f (0 K) ... -0.127 eV/atom

Cell: 5.3684 5.3684 5.0588 Å, 90.00 90.00 90.00°
Closest atoms and distances in Å follow each position.
Atoms (fractional coordinates):
Cs 0.5000 0.5000 0.5000  8 Cd 3.69, 4 As 3.80
As 0.0000 0.0000 0.5000  2 Pt 2.53
Pt 0.0000 0.0000 0.0000  2 As 2.53, 4 Cd 2.68
Cd 0.0000 0.5000 0.0000  2 Pt 2.68
Cd 0.5000 0.0000 0.0000  2 Pt 2.68

=====

4.
## Cs2RbCd2As2 (PBE-GGA)

Data for a geometry-optimized Cs2RbCd2As2 structure.

Space-group type ... No. 166
ΔH_f (0 K) ... -0.336 eV/atom

Cell: 4.6887 4.6887 16.2695 Å, 81.72 81.72 60.00°
Closest atoms and distances in Å follow each position.
Atoms (fractional coordinates):
Cs 0.1153 0.1153 0.6542  3 As 3.87, 3 Cd 3.94
Cs 0.8847 0.8847 0.3458  3 As 3.87, 3 Cd 3.94
Rb 0.0000 0.0000 0.0000  6 Cd 3.81, 6 As 3.88
Cd 0.6109 0.6109 0.1674  3 As 2.71
Cd 0.3891 0.3891 0.8326  3 As 2.71
As 0.7244 0.7244 0.8269  3 Cd 2.71
As 0.2756 0.2756 0.1731  3 Cd 2.71

=====

5.
## Cs2RbCdAs2 (PBE-GGA)

Data for a geometry-optimized Cs2RbCdAs2 structure.

Space-group type ... No. 72
ΔH_f (0 K) ... -0.306 eV/atom

Cell: 8.3584 7.2928 9.7358 Å, 112.00 115.42 90.00°
Closest atoms and distances in Å follow each position.
Atoms (fractional coordinates):
Cs 0.4665 0.1767 0.3533  4 As 3.60-3.91, 2 Cd 3.79
Cs 0.5335 0.8233 0.6467  4 As 3.60-3.91, 2 Cd 3.79
Cs 0.1132 0.3233 0.6467  4 As 3.60-3.91, 2 Cd 3.79
Cs 0.8868 0.6767 0.3533  4 As 3.60-3.91, 2 Cd 3.79
Rb 0.0000 0.7500 0.0000  4 As 3.50, 2 Rb 3.65
Rb 0.0000 0.2500 0.0000  4 As 3.50, 2 Rb 3.65
Cd 0.5000 0.7500 0.0000  4 As 2.80
Cd 0.5000 0.2500 0.0000  4 As 2.80
As 0.7769 0.0900 0.1799  2 Cd 2.80
As 0.4030 0.5900 0.1799  2 Cd 2.80
As 0.5970 0.4100 0.8201  2 Cd 2.80
As 0.2231 0.9100 0.8201  2 Cd 2.80

=====

6.
## CsRbCdAs2 (PBE-GGA)

Data for a geometry-optimized CsRbCdAs2 structure.

Space-group type ... No. 123
ΔH_f (0 K) ... 0.049 eV/atom

Cell: 5.4511 6.1719 5.4511 Å, 90.00 90.00 90.00°
Closest atoms and distances in Å follow each position.
Atoms (fractional coordinates):
Cs 0.5000 0.5000 0.5000  4 Rb 3.85, 8 As 4.12
As 0.0000 0.0000 0.5000  2 Cd 2.73
As 0.5000 0.0000 0.0000  2 Cd 2.73
Rb 0.0000 0.5000 0.0000  2 Cd 3.09
Cd 0.0000 0.0000 0.0000  4 As 2.73

=====

7.
## Cs2CdAsS4 (PBE-GGA)

Data for a geometry-optimized Cs2CdAsS4 structure.

Formation energy without anion corrections ... -647 meV per atom
Space-group type ... No. 70

Cell: 6.3344 7.8576 12.8924 Å, 84.32 75.78 66.23°
Closest atoms and distances in Å follow each position.
Atoms (fractional coordinates):
Cs 0.1786 0.0000 0.6429  8 S 3.77-4.04
Cs 0.8214 0.0000 0.3571  8 S 3.77-4.04
Cs 0.5714 0.5000 0.8571  8 S 3.77-4.04
Cs 0.9286 0.5000 0.1429  8 S 3.77-4.04
Cd 0.7500 0.5000 0.5000  4 S 2.56
Cd 0.0000 0.0000 0.0000  4 S 2.56
As 0.2500 0.5000 0.5000  4 S 2.35
As 0.5000 0.0000 0.0000  4 S 2.35
S 0.3211 0.8089 0.1019  1 As 2.35, 1 Cd 2.56
S 0.2320 0.1911 0.8981  1 As 2.35, 1 Cd 2.56
S 0.8699 0.8089 0.8981  1 As 2.35, 1 Cd 2.56
S 0.5770 0.1911 0.1019  1 As 2.35, 1 Cd 2.56
S 0.4289 0.6911 0.3981  1 As 2.35, 1 Cd 2.56
S 0.5180 0.3089 0.6019  1 As 2.35, 1 Cd 2.56
S 0.8801 0.6911 0.6019  1 As 2.35, 1 Cd 2.56
S 0.1730 0.3089 0.3981  1 As 2.35, 1 Cd 2.56

=====

8.
## CsCdAsS4 (PBE-GGA)

Data for a geometry-optimized CsCdAsS4 structure.

Formation energy without anion corrections ... -504 meV per atom
Space-group type ... No. 11

Cell: 6.3596 7.1565 9.5484 Å, 90.00 106.89 90.00°
Closest atoms and distances in Å follow each position.
Atoms (fractional coordinates):
Cs 0.7330 0.7500 0.9287  9 S 3.63-3.86, 1 As 4.03
Cs 0.2670 0.2500 0.0713  9 S 3.63-3.86, 1 As 4.03
Cd 0.8174 0.7500 0.4836  5 S 2.54-2.81
Cd 0.1826 0.2500 0.5164  5 S 2.54-2.81
As 0.2022 0.7500 0.3168  4 S 2.14-2.23
As 0.7978 0.2500 0.6832  4 S 2.14-2.23
S 0.0319 0.4858 0.6939  1 As 2.23
S 0.9681 0.9858 0.3061  1 As 2.23
S 0.9681 0.5142 0.3061  1 As 2.23
S 0.0319 0.0142 0.6939  1 As 2.23
S 0.3290 0.7500 0.1327  1 As 2.14
S 0.6710 0.2500 0.8673  1 As 2.14
S 0.4465 0.7500 0.5327  1 As 2.19
S 0.5535 0.2500 0.4673  1 As 2.19

=====

9.
## CsCd2SbAs (PBE-GGA)

Data for a geometry-optimized CsCd2SbAs structure.

Formation energy without anion corrections ... -232 meV per atom
Space-group type ... No. 11

Cell: 4.4918 8.9656 9.1061 Å, 104.84 90.00 90.00°
Closest atoms and distances in Å follow each position.
Atoms (fractional coordinates):
Cs 0.2500 0.9464 0.2150  3 As 3.72-3.76, 3 Sb 3.88-3.91
Cs 0.7500 0.0536 0.7850  3 As 3.72-3.76, 3 Sb 3.88-3.91
Cd 0.7500 0.5143 0.6352  1 As 2.76, 3 Sb 2.91-2.97
Cd 0.2500 0.4857 0.3648  1 As 2.76, 3 Sb 2.91-2.97
Cd 0.7500 0.4906 0.1184  3 As 2.77-2.83, 1 Sb 2.98
Cd 0.2500 0.5094 0.8816  3 As 2.77-2.83, 1 Sb 2.98
Sb 0.2500 0.2894 0.5747  4 Cd 2.91-2.98
Sb 0.7500 0.7106 0.4253  4 Cd 2.91-2.98
As 0.2500 0.3029 0.0705  4 Cd 2.76-2.83
As 0.7500 0.6971 0.9295  4 Cd 2.76-2.83

=====

10.
## CsCd4SbAs2 (PBE-GGA)

Data for a geometry-optimized CsCd4SbAs2 structure.

Formation energy without anion corrections ... -231 meV per atom
Space-group type ... No. 123

Cell: 4.6335 4.6335 11.2945 Å, 90.00 90.00 90.00°
Closest atoms and distances in Å follow each position.
Atoms (fractional coordinates):
Cs 0.0000 0.0000 0.5000  8 As 3.94, 8 Cd 4.36
Cd 0.0000 0.5000 0.1728  2 As 2.76, 2 Sb 3.03
Cd 0.5000 0.0000 0.8272  2 As 2.76, 2 Sb 3.03
Cd 0.5000 0.0000 0.1728  2 As 2.76, 2 Sb 3.03
Cd 0.0000 0.5000 0.8272  2 As 2.76, 2 Sb 3.03
Sb 0.0000 0.0000 0.0000  8 Cd 3.03
As 0.5000 0.5000 0.3059  4 Cd 2.76
As 0.5000 0.5000 0.6941  4 Cd 2.76

=====

11.
## CsCdSbAs2 (PBE-GGA)

Data for a geometry-optimized CsCdSbAs2 structure.

Formation energy without anion corrections ... -182 meV per atom
Space-group type ... No. 12

Cell: 4.8225 7.7291 10.2462 Å, 91.39 90.00 108.18°
Closest atoms and distances in Å follow each position.
Atoms (fractional coordinates):
Cs 0.3528 0.7056 0.3269  6 As 3.74-4.17, 1 Cd 3.95, 2 Sb 4.16
Cs 0.6472 0.2944 0.6731  6 As 3.74-4.17, 1 Cd 3.95, 2 Sb 4.16
Cd 0.6916 0.3832 0.0546  4 As 2.74-2.86
Cd 0.3084 0.6168 0.9454  4 As 2.74-2.86
Sb 0.0673 0.1347 0.2139  3 As 2.70-2.78
Sb 0.9327 0.8653 0.7861  3 As 2.70-2.78
As 0.3636 0.7272 0.6922  1 Cd 2.74, 2 Sb 2.78
As 0.6364 0.2728 0.3078  1 Cd 2.74, 2 Sb 2.78
As 0.1142 0.2284 0.9609  1 Sb 2.70, 3 Cd 2.82-2.86
As 0.8858 0.7716 0.0391  1 Sb 2.70, 3 Cd 2.82-2.86

=====

12.
## CsCd4Sb2As (PBE-GGA)

Data for a geometry-optimized CsCd4Sb2As structure.

Formation energy without anion corrections ... -218 meV per atom
Space-group type ... No. 123

Cell: 4.7432 4.7432 11.3113 Å, 90.00 90.00 90.00°
Closest atoms and distances in Å follow each position.
Atoms (fractional coordinates):
Cs 0.0000 0.0000 0.5000  8 Sb 4.05
Cd 0.0000 0.5000 0.1529  2 Sb 2.90, 2 As 2.94
Cd 0.5000 0.0000 0.8471  2 Sb 2.90, 2 As 2.94
Cd 0.5000 0.0000 0.1529  2 Sb 2.90, 2 As 2.94
Cd 0.0000 0.5000 0.8471  2 Sb 2.90, 2 As 2.94
Sb 0.5000 0.5000 0.3000  4 Cd 2.90
Sb 0.5000 0.5000 0.7000  4 Cd 2.90
As 0.0000 0.0000 0.0000  8 Cd 2.94

=====

13.
## Cs2CdAsSe4 (PBE-GGA)

Data for a geometry-optimized Cs2CdAsSe4 structure.

Formation energy without anion corrections ... -659 meV per atom
Space-group type ... No. 70

Cell: 6.5744 8.0747 13.2548 Å, 84.21 75.64 65.98°
Closest atoms and distances in Å follow each position.
Atoms (fractional coordinates):
Cs 0.1801 0.0000 0.6398  8 Se 3.87-4.13
Cs 0.8199 0.0000 0.3602  8 Se 3.87-4.13
Cs 0.5699 0.5000 0.8602  8 Se 3.87-4.13
Cs 0.9301 0.5000 0.1398  8 Se 3.87-4.13
Cd 0.7500 0.5000 0.5000  4 Se 2.69
Cd 0.0000 0.0000 0.0000  4 Se 2.69
As 0.2500 0.5000 0.5000  4 Se 2.49
As 0.5000 0.0000 0.0000  4 Se 2.49
Se 0.3187 0.8031 0.1069  1 As 2.49, 1 Cd 2.69
Se 0.2288 0.1969 0.8931  1 As 2.49, 1 Cd 2.69
Se 0.8782 0.8031 0.8931  1 As 2.49, 1 Cd 2.69
Se 0.5744 0.1969 0.1069  1 As 2.49, 1 Cd 2.69
Se 0.4313 0.6969 0.3931  1 As 2.49, 1 Cd 2.69
Se 0.5212 0.3031 0.6069  1 As 2.49, 1 Cd 2.69
Se 0.8718 0.6969 0.6069  1 As 2.49, 1 Cd 2.69
Se 0.1756 0.3031 0.3931  1 As 2.49, 1 Cd 2.69

=====

14.
## CsCdAsSe2 (PBE-GGA)

Data for a geometry-optimized CsCdAsSe2 structure.

Formation energy without anion corrections ... 1140 meV per atom
Space-group type ... No. 123
Polymorph energy (0 for the lowest one) ... 1115.3 meV/atom

Cell: 6.0440 6.0440 6.6171 Å, 90.00 90.00 90.00°
Closest atoms and distances in Å follow each position.
Atoms (fractional coordinates):
Cs 0.0000 0.0000 0.0000  4 Se 3.02, 2 As 3.31
As 0.0000 0.0000 0.5000  2 Cs 3.31
Se 0.0000 0.5000 0.0000  2 Cs 3.02
Se 0.5000 0.0000 0.0000  2 Cs 3.02
Cd 0.5000 0.5000 0.5000  4 As 4.27, 8 Se 4.48

=====

15.
## CsCdAsSe2 (PBE-GGA)

Data for a geometry-optimized CsCdAsSe2 structure.

Formation energy without anion corrections ... 25 meV per atom
Space-group type ... No. 123
Polymorph energy (0 for the lowest one) ... 0.0 meV/atom

Cell: 5.5147 5.5147 5.2919 Å, 90.00 90.00 90.00°
Closest atoms and distances in Å follow each position.
Atoms (fractional coordinates):
Cs 0.5000 0.5000 0.5000  8 Se 3.82, 4 As 3.90
As 0.0000 0.0000 0.5000  2 Cd 2.65
Se 0.0000 0.5000 0.0000  2 Cd 2.76
Se 0.5000 0.0000 0.0000  2 Cd 2.76
Cd 0.0000 0.0000 0.0000  2 As 2.65, 4 Se 2.76

=====

16.
## CsCdAsSe3 (PBE-GGA)

Data for a geometry-optimized CsCdAsSe3 structure.

Formation energy without anion corrections ... -600 meV per atom
Space-group type ... No. 11

Cell: 4.1812 9.3936 10.7744 Å, 111.31 90.00 90.00°
Closest atoms and distances in Å follow each position.
Atoms (fractional coordinates):
Cs 0.2500 0.2201 0.2503  7 Se 3.68-3.81
Cs 0.7500 0.7799 0.7497  7 Se 3.68-3.81
Cd 0.2500 0.0966 0.6217  4 Se 2.68-2.79
Cd 0.7500 0.9034 0.3783  4 Se 2.68-2.79
As 0.2500 0.6628 0.1097  1 Se 2.43
As 0.7500 0.3372 0.8903  1 Se 2.43
Se 0.7500 0.8566 0.1178  1 Cd 2.68, 2 As 2.75
Se 0.2500 0.1434 0.8822  1 Cd 2.68, 2 As 2.75
Se 0.2500 0.7863 0.4651  3 Cd 2.68-2.79
Se 0.7500 0.2137 0.5349  3 Cd 2.68-2.79
Se 0.7500 0.4666 0.1305  1 As 2.43
Se 0.2500 0.5334 0.8695  1 As 2.43

=====

17.
## CsCdSn2As (PBE-GGA)

Data for a geometry-optimized CsCdSn2As structure.

Space-group type ... No. 123
ΔH_f (0 K) ... 0.225 eV/atom

Cell: 5.7372 5.4903 5.7372 Å, 90.00 90.00 90.00°
Closest atoms and distances in Å follow each position.
Atoms (fractional coordinates):
Cs 0.5000 0.5000 0.5000  8 Sn 3.97, 4 Cd 4.06
As 0.0000 0.0000 0.0000  2 Cd 2.75, 4 Sn 2.87
Sn 0.0000 0.0000 0.5000  2 As 2.87
Sn 0.5000 0.0000 0.0000  2 As 2.87
Cd 0.0000 0.5000 0.0000  2 As 2.75

=====

18.
## Cs2SrCdAs2 (PBE-GGA)

Data for a geometry-optimized Cs2SrCdAs2 structure.

Space-group type ... No. 72
ΔH_f (0 K) ... -0.615 eV/atom

Cell: 7.2554 7.3588 9.8840 Å, 111.86 111.53 90.00°
Closest atoms and distances in Å follow each position.
Atoms (fractional coordinates):
Cs 0.4596 0.1800 0.3600  4 As 3.58-3.98, 2 Cd 3.89
Cs 0.5404 0.8200 0.6400  4 As 3.58-3.98, 2 Cd 3.89
Cs 0.0996 0.3200 0.6400  4 As 3.58-3.98, 2 Cd 3.89
Cs 0.9004 0.6800 0.3600  4 As 3.58-3.98, 2 Cd 3.89
Sr 0.0000 0.7500 0.0000  4 As 3.10
Sr 0.0000 0.2500 0.0000  4 As 3.10
Cd 0.5000 0.7500 0.0000  4 As 2.89
Cd 0.5000 0.2500 0.0000  4 As 2.89
As 0.8149 0.0894 0.1789  2 Cd 2.89, 2 Sr 3.10
As 0.3640 0.5894 0.1789  2 Cd 2.89, 2 Sr 3.10
As 0.6360 0.4106 0.8211  2 Cd 2.89, 2 Sr 3.10
As 0.1851 0.9106 0.8211  2 Cd 2.89, 2 Sr 3.10

=====

19.
## CsCd2TcAs (PBE-GGA)

Data for a geometry-optimized CsCd2TcAs structure.

Space-group type ... No. 123
ΔH_f (0 K) ... 0.020 eV/atom

Cell: 5.4823 5.4823 4.7719 Å, 90.00 90.00 90.00°
Closest atoms and distances in Å follow each position.
Atoms (fractional coordinates):
Cs 0.5000 0.5000 0.5000  8 Cd 3.63, 4 As 3.88
As 0.0000 0.0000 0.5000  2 Tc 2.39
Tc 0.0000 0.0000 0.0000  2 As 2.39
Cd 0.0000 0.5000 0.0000  2 Tc 2.74
Cd 0.5000 0.0000 0.0000  2 Tc 2.74

=====

20.
## Cs2TlCdAs2 (PBE-GGA)

Data for a geometry-optimized Cs2TlCdAs2 structure.

Space-group type ... No. 72
ΔH_f (0 K) ... -0.331 eV/atom

Cell: 7.1026 7.0570 9.8470 Å, 111.00 111.14 90.00°
Closest atoms and distances in Å follow each position.
Atoms (fractional coordinates):
Cs 0.4159 0.1716 0.3432  5 As 3.69-4.02, 2 Tl 3.82, 2 Cd 3.86
Cs 0.5841 0.8284 0.6568  5 As 3.69-4.02, 2 Tl 3.82, 2 Cd 3.86
Cs 0.0727 0.3284 0.6568  5 As 3.69-4.02, 2 Tl 3.82, 2 Cd 3.86
Cs 0.9273 0.6716 0.3432  5 As 3.69-4.02, 2 Tl 3.82, 2 Cd 3.86
Tl 0.0000 0.7500 0.0000  4 As 3.05
Tl 0.0000 0.2500 0.0000  4 As 3.05
Cd 0.5000 0.7500 0.0000  4 As 2.85
Cd 0.5000 0.2500 0.0000  4 As 2.85
As 0.8190 0.0917 0.1833  2 Cd 2.85, 2 Tl 3.05
As 0.3643 0.5917 0.1833  2 Cd 2.85, 2 Tl 3.05
As 0.6357 0.4083 0.8167  2 Cd 2.85, 2 Tl 3.05
As 0.1810 0.9083 0.8167  2 Cd 2.85, 2 Tl 3.05